# 1
A plane-wave DFT calculation with SCAN was carried out for a crystal of KMn3H relaxed with PBEsol.

Unit cell a=4.147 b=4.147 c=4.147 alpha=90.00 beta=90.00 gamma=90.00
Site moments in Bohr magnetons follow the coordinates.
Atoms (fractional coordinates):
Mn 0.000 0.500 0.000  3.57
Mn 0.500 0.000 0.000  3.57
Mn 0.000 0.000 0.500  3.57
H 0.000 0.000 0.000  -0.06
K 0.500 0.500 0.500  -0.03

Values from the calculation:
Raw total energy, eV/f.u.: -62.6
Space-group type: No. 221
DOS(E_F), states/eV/atom: 0.475
Total moment, μB per formula unit: 10.8

=====

# 2
A plane-wave DFT calculation with SCAN was carried out for a crystal of K3MnH5 relaxed with PBEsol.

Unit cell a=7.373 b=7.716 c=7.373 alpha=61.46 beta=90.00 gamma=118.54
Site moments in Bohr magnetons follow the coordinates.
Atoms (fractional coordinates):
H 0.286 0.312 0.214  -0.02
H 0.526 0.312 0.714  -0.02
H 0.000 0.000 0.000  0.01
H 0.474 0.688 0.286  -0.02
H 0.026 0.312 0.474  -0.02
H 0.974 0.688 0.526  -0.02
H 0.214 0.688 0.026  -0.02
H 0.786 0.312 0.974  -0.02
H 0.714 0.688 0.786  -0.02
H 0.500 0.000 0.500  0.01
K 0.819 0.000 0.319  0.01
K 0.750 0.500 0.250  0.01
K 0.250 0.500 0.750  0.01
K 0.181 0.000 0.681  0.01
K 0.319 0.000 0.181  0.01
K 0.681 0.000 0.819  0.01
Mn 0.250 0.500 0.250  4.28
Mn 0.750 0.500 0.750  4.28

Values from the calculation:
Raw total energy, eV/f.u.: -62.9
Space-group type: No. 140
DOS(E_F), states/eV/atom: 0.000
Total moment, μB per formula unit: 5.0

=====

# 3
A plane-wave DFT calculation with SCAN was carried out for a crystal of KMnPH2O5 relaxed with PBEsol.

Unit cell a=4.801 b=5.664 c=8.339 alpha=90.00 beta=90.00 gamma=90.00
Site moments in Bohr magnetons follow the coordinates.
Atoms (fractional coordinates):
O 0.731 0.220 0.362  0.05
O 0.191 0.500 0.290  0.02
O 0.731 0.780 0.362  0.05
O 0.773 0.500 0.681  0.03
O 0.273 0.000 0.319  0.03
O 0.636 0.000 0.100  0.01
O 0.136 0.500 0.900  0.01
O 0.231 0.720 0.638  0.05
O 0.231 0.280 0.638  0.05
O 0.691 0.000 0.710  0.02
Mn 0.023 0.000 0.522  4.59
Mn 0.523 0.500 0.478  4.59
H 0.567 0.139 0.695  0.00
H 0.067 0.639 0.305  0.00
H 0.067 0.361 0.305  0.00
H 0.567 0.861 0.695  0.00
K 0.628 0.500 0.042  0.00
K 0.128 0.000 0.958  0.00
P 0.586 0.000 0.280  0.01
P 0.086 0.500 0.720  0.01

Values from the calculation:
Raw total energy, eV/f.u.: -95.5
Space-group type: No. 31
DOS(E_F), states/eV/atom: 0.000
Total moment, μB per formula unit: 5.0

=====

# 4
A plane-wave DFT calculation with SCAN was carried out for a crystal of K2Mn3V2H2O10 relaxed with PBEsol.

Unit cell a=5.321 b=6.071 c=8.032 alpha=112.21 beta=104.03 gamma=90.00
Site moments in Bohr magnetons follow the coordinates.
Atoms (fractional coordinates):
O 0.753 0.417 0.834  0.01
O 0.247 0.583 0.166  0.01
O 0.218 0.074 0.149  0.09
O 0.279 0.181 0.835  0.02
O 0.721 0.819 0.165  0.02
O 0.279 0.654 0.835  0.02
O 0.782 0.926 0.851  0.09
O 0.682 0.739 0.477  -0.01
O 0.318 0.261 0.523  -0.01
O 0.721 0.346 0.165  0.02
K 0.203 0.764 0.528  0.00
K 0.797 0.236 0.472  0.00
H 0.256 0.144 0.288  0.01
H 0.744 0.856 0.712  0.01
V 0.410 0.379 0.759  0.37
V 0.590 0.621 0.241  0.37
Mn 0.500 0.000 0.000  4.47
Mn 0.000 0.737 0.000  4.45
Mn 0.000 0.263 0.000  4.45

Values from the calculation:
Raw total energy, eV/f.u.: -217.3
Space-group type: No. 12
Total moment, μB per formula unit: 15.0

=====

# 5
A plane-wave DFT calculation with SCAN was carried out for a crystal of KMn2HPt relaxed with PBEsol.

Unit cell a=5.070 b=5.794 c=5.794 alpha=90.00 beta=90.00 gamma=90.00
Site moments in Bohr magnetons follow the coordinates.
Atoms (fractional coordinates):
K 0.000 0.000 0.000  0.03
Mn 0.000 0.000 0.500  4.85
Mn 0.000 0.500 0.000  4.85
H 0.500 0.500 0.500  0.30
Pt 0.500 0.000 0.000  0.31

Values from the calculation:
Raw total energy, eV/f.u.: -107.7
Space-group type: No. 123
DOS(E_F), states/eV/atom: 0.496
Total moment, μB per formula unit: 11.7

=====

# 6
A plane-wave DFT calculation with SCAN was carried out for a crystal of KMnTl2H relaxed with PBEsol.

Unit cell a=3.989 b=5.919 c=5.919 alpha=90.00 beta=90.00 gamma=90.00
Site moments in Bohr magnetons follow the coordinates.
Atoms (fractional coordinates):
K 0.000 0.000 0.000  -0.02
Tl 0.000 0.000 0.500  -0.07
Tl 0.000 0.500 0.000  -0.07
Mn 0.500 0.500 0.500  4.59
H 0.500 0.000 0.000  -0.01

Values from the calculation:
Raw total energy, eV/f.u.: -170.6
Space-group type: No. 123
DOS(E_F), states/eV/atom: 0.613
Total moment, μB per formula unit: 4.4

=====

# 7
A plane-wave DFT calculation with SCAN was carried out for a crystal of K2MoH relaxed with PBEsol.

Unit cell a=5.726 b=5.726 c=5.726 alpha=60.00 beta=60.00 gamma=60.00
Site moments in Bohr magnetons follow the coordinates.
Atoms (fractional coordinates):
K 0.250 0.250 0.250  0.01
K 0.750 0.750 0.750  0.01
Mo 0.500 0.500 0.500  4.22
H 0.000 0.000 0.000  0.02

Values from the calculation:
Raw total energy, eV/f.u.: -49.8
Space-group type: No. 225
DOS(E_F), states/eV/atom: 0.142
Total moment, μB per formula unit: 5.1

=====

# 8
A plane-wave DFT calculation with SCAN was carried out for a crystal of KMoH3 relaxed with PBEsol.

Unit cell a=3.831 b=3.831 c=3.831 alpha=90.00 beta=90.00 gamma=90.00
Site moments in Bohr magnetons follow the coordinates.
Atoms (fractional coordinates):
H 0.000 0.500 0.000  -0.01
H 0.500 0.000 0.000  -0.01
H 0.000 0.000 0.500  -0.01
K 0.500 0.500 0.500  0.01
Mo 0.000 0.000 0.000  1.89

Values from the calculation:
Raw total energy, eV/f.u.: -52.5
Space-group type: No. 221
DOS(E_F), states/eV/atom: 0.371
Total moment, μB per formula unit: 2.0